A plane-wave DFT calculation with PBE was carried out for crystalline PmNd2Dy2 at its relaxed geometry.

Unit cell a=5.5382 b=7.1164 c=8.9739 alpha=90.00 beta=107.97 gamma=90.00
Atoms (fractional coordinates):
1 Dy 0.8018 0.1729 0.6036
2 Nd 0.8015 0.6730 0.6030
3 Pm 0.3926 0.4208 0.7852
4 Dy 0.0002 0.6734 0.0003
5 Pm 0.6074 0.9208 0.2148
6 Nd 0.3935 0.9255 0.7870
7 Nd 0.6065 0.4255 0.2130
8 Dy 0.9998 0.1734 0.9997
9 Nd 0.1985 0.1730 0.3970
10 Dy 0.1982 0.6729 0.3964

Properties
E_form, eV per atom: 0.0579
Calculated total energy, eV/atom: -4.640
ΔE to the lowest computed polymorph, eV per formula unit: 0.00
Total magnetization, Bohr magnetons per cell: 0.00